DFT (GGA-PBE) results for an optimized crystal structure of Sr2GeRh2.

Unit cell a=6.7876 b=6.7876 c=4.8463 alpha=90.00 beta=90.00 gamma=90.00
With the nearest neighbours (Å) after each atom.
Fractional positions:
Sr 0.1765 0.3235 0.0000  6 Rh 2.98-3.26
Sr 0.3235 0.8235 0.0000  6 Rh 2.98-3.26
Sr 0.6765 0.1765 0.0000  6 Rh 2.98-3.26
Sr 0.8235 0.6765 0.0000  6 Rh 2.98-3.26
Ge 0.0000 0.0000 0.5000  4 Rh 2.61
Ge 0.5000 0.5000 0.5000  4 Rh 2.61
Rh 0.1422 0.6422 0.5000  2 Ge 2.61, 1 Rh 2.73
Rh 0.3578 0.1422 0.5000  2 Ge 2.61, 1 Rh 2.73
Rh 0.6422 0.8578 0.5000  2 Ge 2.61, 1 Rh 2.73
Rh 0.8578 0.3578 0.5000  2 Ge 2.61, 1 Rh 2.73

Spin magnetization   0.0 μB per formula unit
DOS(E_F)   7.3 states/eV/cell
Formation energy from the elements   -375 meV per atom
Symmetry   No. 127